Model one:
A relaxed structure of HfTlAg3Se4, computed with GGA-PBE.

It has space group P-43m (No. 215), with a = 6.4641 Å, b = 6.4641 Å, c = 6.4641 Å, α = 90.00°, β = 90.00° and γ = 90.00°. The asymmetric unit holds Hf at (0.0000, 0.0000, 0.0000), Tl at (0.5000, 0.5000, 0.5000), Ag at (0.0000, 0.0000, 0.5000) and Se at (0.2261, 0.2261, 0.7739).

For the calculated density, the calculation gives 6.285 g/cm3.

***

Model two:
A relaxed structure of HfTlAg3Se4, computed with GGA-PBE.

It has space group P2_1/m (No. 11), with a = 6.2704 Å, b = 7.7969 Å, c = 10.1049 Å, α = 90.00°, β = 106.53° and γ = 90.00°. The asymmetric unit holds Hf at (0.1346, 0.2500, 0.2917), Tl at (0.2215, 0.2500, 0.8946), Ag at (0.2980, 0.5538, 0.5246), Ag at (0.4198, 0.7500, 0.7792), Se at (0.0708, 0.2500, 0.5349), Se at (0.1671, 0.7500, 0.9342) and Se at (0.3439, 0.5198, 0.2601).

For the calculated density, the calculation gives 7.169 g/cm3.

***

Relative energies in meV/atom: model one 0; model two 55

***

Model one:
A relaxed structure of HfTlAgTe3, computed with GGA-PBE.

It has space group C2/m (No. 12), with a = 18.8039 Å, b = 4.1261 Å, c = 9.3872 Å, α = 90.00°, β = 99.06° and γ = 90.00°. The asymmetric unit holds Hf at (0.1626, 0.0000, 0.0912), Tl at (0.1275, 0.0000, 0.5789), Ag at (0.0409, 0.5000, 0.2176), Te at (0.0000, 0.0000, 0.0000), Te at (0.0000, 0.5000, 0.5000), Te at (0.1771, 0.5000, 0.8785) and Te at (0.1876, 0.5000, 0.3088).

For the calculated density, the calculation gives 8.067 g/cm3.

***

Model two:
A relaxed structure of HfTlAgTe3, computed with GGA-PBE.

It has space group Pnma (No. 62), with a = 11.2775 Å, b = 4.1623 Å, c = 15.0273 Å, α = 90.00°, β = 90.00° and γ = 90.00°. The asymmetric unit holds Hf at (0.0341, 0.2500, 0.2505), Tl at (0.2374, 0.7500, 0.5100), Ag at (0.2469, 0.2500, 0.7006), Te at (0.0251, 0.2500, 0.6195), Te at (0.0405, 0.7500, 0.1128) and Te at (0.2339, 0.7500, 0.8244).

For the calculated density, the calculation gives 8.225 g/cm3.

***

Model three:
A relaxed structure of HfTlAgTe3, computed with GGA-PBE.

It has space group Pnma (No. 62), with a = 13.1976 Å, b = 4.2108 Å, c = 13.0639 Å, α = 90.00°, β = 90.00° and γ = 90.00°. The asymmetric unit holds Hf at (0.0442, 0.2500, 0.1669), Tl at (0.1730, 0.2500, 0.4844), Ag at (0.2357, 0.7500, 0.3107), Te at (0.0194, 0.7500, 0.3226), Te at (0.0828, 0.2500, 0.9322) and Te at (0.2467, 0.7500, 0.6652).

For the calculated density, the calculation gives 7.992 g/cm3.

***

Model four:
A relaxed structure of HfTlAgTe3, computed with GGA-PBE.

It has space group Pnma (No. 62), with a = 15.2651 Å, b = 4.1778 Å, c = 11.3120 Å, α = 90.00°, β = 90.00° and γ = 90.00°. The asymmetric unit holds Hf at (0.0155, 0.2500, 0.1785), Tl at (0.2300, 0.2500, 0.4507), Ag at (0.0168, 0.7500, 0.4069), Te at (0.0908, 0.2500, 0.9355), Te at (0.1074, 0.7500, 0.6356) and Te at (0.1444, 0.7500, 0.2289).

For the calculated density, the calculation gives 8.043 g/cm3.

***

Relative energies in meV/atom: model one 96; model two 38; model three 102; model four 0

***

Model one:
A relaxed structure of HfTlAgTe3, computed with GGA-PBE.

It has space group Pnma (No. 62), with a = 8.3517 Å, b = 4.4656 Å, c = 18.4995 Å, α = 90.00°, β = 90.00° and γ = 90.00°. The asymmetric unit holds Hf at (0.2436, 0.2500, 0.0456), Tl at (0.1450, 0.2500, 0.8099), Ag at (0.0030, 0.2500, 0.3281), Te at (0.0052, 0.2500, 0.5742), Te at (0.1256, 0.7500, 0.9573) and Te at (0.1686, 0.2500, 0.1947).

For the calculated density, the calculation gives 8.410 g/cm3.

***

Model two:
A relaxed structure of HfTlAgTe3, computed with GGA-PBE.

It has space group Cmcm (No. 63), with a = 4.1310 Å, b = 15.4366 Å, c = 11.0464 Å, α = 90.00°, β = 90.00° and γ = 90.00°. The asymmetric unit holds Hf at (0.0000, 0.0000, 0.0000), Tl at (0.0000, 0.2376, 0.2500), Ag at (0.0000, 0.4554, 0.7500), Te at (0.0000, 0.0756, 0.7500) and Te at (0.0000, 0.3668, 0.5338).

For the calculated density, the calculation gives 8.237 g/cm3.

***

Relative energies in meV/atom: model one 73; model two 0